1.
CsAg4F8 PBE-GGA relaxed; energy = -0.122 Ha/atom; Fermi-level density of states = 10.62 states/eV per cell; magnetic moment = 0.24 μB per atom; volume = 571.5 Å³/cell
1.0
-0.925 4.395 -4.858
-4.442 -4.798 1.010
-7.505 8.955 9.530
Cs F Ag
2 16 8
Direct
0.000 0.000 0.000
0.000 0.000 0.500
0.668 0.834 0.662
0.332 0.166 0.162
0.834 0.668 0.162
0.166 0.332 0.838
0.166 0.332 0.662
0.166 0.834 0.662
0.668 0.834 0.838
0.667 0.333 0.663
0.333 0.667 0.163
0.834 0.668 0.338
0.333 0.667 0.337
0.834 0.166 0.338
0.332 0.166 0.338
0.166 0.834 0.838
0.834 0.166 0.162
0.667 0.333 0.837
0.998 0.499 0.750
0.499 0.501 0.250
0.000 0.000 0.750
0.501 0.499 0.750
0.002 0.501 0.250
0.501 0.002 0.750
0.499 0.998 0.250
0.000 0.000 0.250

---

2.
NiBi2Rh2 PBE-GGA relaxed; energy = -0.202 Ha/atom; Fermi-level density of states = 17.23 states/eV per cell; formation energy = 0.164 eV per atom; magnetic moment = 0.00 μB per atom; volume = 192.3 Å³/cell
1.0
7.004 0.000 0.000
0.000 7.004 0.000
0.000 0.000 3.921
Rh Bi Ni
4 4 2
Direct
0.360 0.860 0.000
0.640 0.140 0.000
0.140 0.360 0.000
0.860 0.640 0.000
0.668 0.832 0.500
0.332 0.168 0.500
0.168 0.668 0.500
0.832 0.332 0.500
0.500 0.500 0.000
0.000 0.000 0.000